Record 1
## CrTcS2N (PBE)

Data for a relaxed structure of CrTcS2N.

Structure (POSCAR):
```
CrTcS2N
1.0
-3.1498 2.0284 -3.0027
-3.4848 -2.7861 1.7736
-0.7636 2.5703 2.5373
Cr Tc N S
1 1 1 2
Cartesian
-3.6991 0.9063 0.6541
0.0000 0.0000 0.0000
-0.3818 1.2851 1.2686
-1.7424 -1.3930 0.8868
-1.5749 1.0142 -1.5013
```

* crystal system: tetragonal
* density: 4.5 g/cm³
* offset from the most stable computed form: 0.0 meV/atom
* ΔE_f (raw): 0.3747 eV/atom

Record 2
## CuRhAu2 (PBE)

Data for a relaxed structure of CuRhAu2.

Structure (POSCAR):
```
CuRhAu2
1.0
4.4815 0.0000 0.0000
2.2408 3.8811 0.0000
2.2408 1.2937 3.6592
Rh Au Cu
1 2 1
Cartesian
6.7223 3.8811 2.7444
0.0000 0.0000 0.0000
2.2408 1.2937 0.9148
4.4815 2.5874 1.8296
```

* crystal system: cubic
* density: 14.6 g/cm³
* offset from the most stable computed form: 93.5 meV/atom
* energy relative to the elements: 0.16 eV/atom

Copy entry 2 word for word.
## CuRhAu2 (PBE)

Data for a relaxed structure of CuRhAu2.

Structure (POSCAR):
```
CuRhAu2
1.0
4.4815 0.0000 0.0000
2.2408 3.8811 0.0000
2.2408 1.2937 3.6592
Rh Au Cu
1 2 1
Cartesian
6.7223 3.8811 2.7444
0.0000 0.0000 0.0000
2.2408 1.2937 0.9148
4.4815 2.5874 1.8296
```

* crystal system: cubic
* density: 14.6 g/cm³
* offset from the most stable computed form: 93.5 meV/atom
* energy relative to the elements: 0.16 eV/atom

What is the formula in the first record?
CrTcS2N

offset from the most stable computed form of number 1 (CrTcS2N)?
0.0 meV/atom

Among the records above, which one has the highest offset from the most stable computed form?
CuRhAu2